[1]
Here is a relaxed Gd2DyCd3InGa2 crystal from the Open Quantum Materials Database. Energies are from GGA-PBE.

Cell: 4.5348 7.3390 7.3390 Å, 119.86 90.00 90.00°
Fractional positions:
Gd: 0.0000 0.2183 0.7817
Gd: 0.0000 0.7817 0.2183
Dy: 0.0000 0.6558 0.6558
Cd: 0.5000 0.2186 0.4736
Cd: 0.5000 0.4736 0.2186
Cd: 0.5000 0.9637 0.9637
In: 0.0000 0.2201 0.2201
Ga: 0.5000 0.5525 0.8844
Ga: 0.5000 0.8844 0.5525

[2]
Here is a relaxed Gd2DyMg3CdGa2 crystal from the Open Quantum Materials Database. Energies are from GGA-PBE.

Cell: 4.4851 7.3925 7.3925 Å, 119.79 90.00 90.00°
Fractional positions:
Gd: 0.0000 0.2153 0.7847
Gd: 0.0000 0.7847 0.2153
Dy: 0.0000 0.3541 0.3541
Mg: 0.5000 0.0339 0.0339
Mg: 0.5000 0.5352 0.7840
Mg: 0.5000 0.7840 0.5352
Cd: 0.0000 0.7829 0.7829
Ga: 0.5000 0.1189 0.4507
Ga: 0.5000 0.4507 0.1189

[3]
Here is a relaxed GdDy2Mg3CdGa2 crystal from the Open Quantum Materials Database. Energies are from GGA-PBE.

Cell: 4.4751 7.3907 7.3907 Å, 120.21 90.00 90.00°
Fractional positions:
Gd: 0.0000 0.0000 0.0000
Dy: 0.0000 0.1379 0.5689
Dy: 0.0000 0.5689 0.1379
Mg: 0.5000 0.3197 0.3197
Mg: 0.5000 0.5683 0.8179
Mg: 0.5000 0.8179 0.5683
Cd: 0.0000 0.5671 0.5671
Ga: 0.5000 0.2364 0.9016
Ga: 0.5000 0.9016 0.2364

[4]
Here is a relaxed Dy2HoCd3InGa2 crystal from the Open Quantum Materials Database. Energies are from GGA-PBE.

Cell: 4.5057 7.3023 7.3023 Å, 119.98 90.00 90.00°
Fractional positions:
Dy: 0.0000 0.2187 0.7813
Dy: 0.0000 0.7813 0.2187
Ho: 0.0000 0.3439 0.3439
Cd: 0.5000 0.0367 0.0367
Cd: 0.5000 0.5260 0.7813
Cd: 0.5000 0.7813 0.5260
In: 0.0000 0.7813 0.7813
Ga: 0.5000 0.1147 0.4479
Ga: 0.5000 0.4479 0.1147

[5]
Here is a relaxed DyHo2TlCd3Ga2 crystal from the Open Quantum Materials Database. Energies are from GGA-PBE.

Cell: 4.5119 7.3261 7.3261 Å, 120.05 90.00 90.00°
Fractional positions:
Dy: 0.0000 0.0000 0.0000
Ho: 0.0000 0.1330 0.5667
Ho: 0.0000 0.5667 0.1330
Tl: 0.0000 0.5659 0.5659
Cd: 0.5000 0.3060 0.3060
Cd: 0.5000 0.5666 0.8270
Cd: 0.5000 0.8270 0.5666
Ga: 0.5000 0.2336 0.8997
Ga: 0.5000 0.8997 0.2336

[6]
Here is a relaxed Dy3Mg3CdInGa crystal from the Open Quantum Materials Database. Energies are from GGA-PBE.

Cell: 7.4795 7.4795 4.5163 Å, 90.00 90.00 120.00°
Fractional positions:
Dy: 0.0114 0.5765 0.0000
Dy: 0.4235 0.4349 0.0000
Dy: 0.5651 0.9886 0.0000
Mg: 0.0075 0.2486 0.5000
Mg: 0.2411 0.9925 0.5000
Mg: 0.7514 0.7589 0.5000
Cd: 0.0000 0.0000 0.0000
In: 0.6667 0.3333 0.5000
Ga: 0.3333 0.6667 0.5000

[7]
Here is a relaxed TbDy2Cd3InGa2 crystal from the Open Quantum Materials Database. Energies are from GGA-PBE.

Cell: 4.5134 7.3245 7.3245 Å, 120.08 90.00 90.00°
Fractional positions:
Tb: 0.0000 0.0000 0.0000
Dy: 0.0000 0.4369 0.8740
Dy: 0.0000 0.8740 0.4369
Cd: 0.5000 0.1817 0.4371
Cd: 0.5000 0.4371 0.1817
Cd: 0.5000 0.6919 0.6919
In: 0.0000 0.4374 0.4374
Ga: 0.5000 0.1039 0.7700
Ga: 0.5000 0.7700 0.1039

[8]
Here is a relaxed Tb2DyCd3InGa2 crystal from the Open Quantum Materials Database. Energies are from GGA-PBE.

Cell: 4.5176 7.3234 7.3234 Å, 119.98 90.00 90.00°
Fractional positions:
Tb: 0.0000 0.2186 0.7814
Tb: 0.0000 0.7814 0.2186
Dy: 0.0000 0.6559 0.6559
Cd: 0.5000 0.2186 0.4738
Cd: 0.5000 0.4738 0.2186
Cd: 0.5000 0.9633 0.9633
In: 0.0000 0.2188 0.2188
Ga: 0.5000 0.5521 0.8852
Ga: 0.5000 0.8852 0.5521

[9]
Here is a relaxed Dy2TmCd3InGa2 crystal from the Open Quantum Materials Database. Energies are from GGA-PBE.

Cell: 4.4970 7.2836 7.2836 Å, 119.89 90.00 90.00°
Fractional positions:
Dy: 0.0000 0.2187 0.7813
Dy: 0.0000 0.7813 0.2187
Tm: 0.0000 0.3436 0.3436
Cd: 0.5000 0.0371 0.0371
Cd: 0.5000 0.5258 0.7810
Cd: 0.5000 0.7810 0.5258
In: 0.0000 0.7804 0.7804
Ga: 0.5000 0.1150 0.4474
Ga: 0.5000 0.4474 0.1150

[10]
Here is a relaxed Dy3Mg2CdGa3 crystal from the Open Quantum Materials Database. Energies are from GGA-PBE.

Cell: 4.4290 7.2626 7.2626 Å, 120.24 90.00 90.00°
Fractional positions:
Dy: 0.0000 0.0000 0.0000
Dy: 0.0000 0.1429 0.5687
Dy: 0.0000 0.5687 0.1429
Mg: 0.5000 0.5678 0.8110
Mg: 0.5000 0.8110 0.5678
Cd: 0.5000 0.3240 0.3240
Ga: 0.0000 0.5752 0.5752
Ga: 0.5000 0.2367 0.9007
Ga: 0.5000 0.9007 0.2367

[11]
Here is a relaxed Nd2DyMg3CdGa2 crystal from the Open Quantum Materials Database. Energies are from GGA-PBE.

Cell: 4.5529 7.4547 7.4547 Å, 119.36 90.00 90.00°
Fractional positions:
Nd: 0.0000 0.2140 0.7860
Nd: 0.0000 0.7860 0.2140
Dy: 0.0000 0.3557 0.3557
Mg: 0.5000 0.0320 0.0320
Mg: 0.5000 0.5354 0.7833
Mg: 0.5000 0.7833 0.5354
Cd: 0.0000 0.7773 0.7773
Ga: 0.5000 0.1227 0.4498
Ga: 0.5000 0.4498 0.1227

[12]
Here is a relaxed PrDy2Mg3CdGa2 crystal from the Open Quantum Materials Database. Energies are from GGA-PBE.

Cell: 4.5313 7.4545 7.4545 Å, 120.79 90.00 90.00°
Fractional positions:
Pr: 0.0000 0.0000 0.0000
Dy: 0.0000 0.1416 0.5724
Dy: 0.0000 0.5724 0.1416
Mg: 0.5000 0.3208 0.3208
Mg: 0.5000 0.5691 0.8175
Mg: 0.5000 0.8175 0.5691
Cd: 0.0000 0.5610 0.5610
Ga: 0.5000 0.2429 0.9024
Ga: 0.5000 0.9024 0.2429

no.,total DFT energy (no corrections) (eV/cell)
1,-29.884
2,-29.489
3,-29.414
4,-29.634
5,-28.824
6,-28.719
7,-29.742
8,-29.794
9,-29.453
10,-31.528
11,-29.663
12,-29.483